Computed, not measured: crystalline MnGa2Fe6 at its relaxed geometry at the GGA-PBE level of DFT.

The value obtained for the total energy is -7.349 eV per atom. The formation energy comes out at -0.02 eV/atom.

It has space group Immm (No. 71), with a = 2.551 Å, b = 7.686 Å, c = 11.032 Å, α = 90.00°, β = 90.00° and γ = 90.00°. Symmetry generates all atoms from Mn at (0.000, 0.000, 0.000), Ga at (0.000, 0.000, 0.332), Fe at (0.000, 0.331, 0.000) and Fe at (0.000, 0.335, 0.336).